Entry 1:
Entry from Alexandria via LeMat-Bulk: an optimized crystal structure of Sm3AgSb (PBE-GGA).

## Properties
Space group: No. 65
VASP energy in eV/atom: -4.4320
Calculated volume in Å³ per cell: 310

Unit cell a=8.7342 b=8.7342 c=5.0318 alpha=90.00 beta=90.00 gamma=126.07
Closest atoms and distances in Å follow each position.
Positions (direct):
Sm1 0.0000 0.5000 0.5000  2 Ag 3.23, 4 Sm 3.51
Sm2 0.1573 0.8427 0.0000  2 Ag 2.75
Sm3 0.3199 0.3199 0.5000  1 Sm 2.85, 2 Ag 2.87
Sm4 0.5000 0.0000 0.5000  2 Ag 3.23, 4 Sm 3.51
Sm5 0.6801 0.6801 0.5000  1 Sm 2.85, 2 Ag 2.87
Sm6 0.8427 0.1573 0.0000  2 Ag 2.75
Ag1 0.0861 0.9139 0.5000  1 Ag 2.68, 4 Sm 2.75-2.87
Ag2 0.9139 0.0861 0.5000  1 Ag 2.68, 4 Sm 2.75-2.87
Sb1 0.3627 0.6373 0.0000  1 Sm 3.20
Sb2 0.6373 0.3627 0.0000  1 Sm 3.20

***

Entry 2:
Entry from Alexandria via LeMat-Bulk: an optimized crystal structure of AcErCuSe4 (PBE-GGA).

## Properties
Space group: No. 11
VASP energy in eV/atom: -5.2172
Calculated volume in Å³ per cell: 346

Unit cell a=7.1065 b=6.0012 c=8.4888 alpha=90.00 beta=107.19 gamma=90.00
Closest atoms and distances in Å follow each position.
Positions (direct):
Ac1 0.2454 0.2500 0.4345  8 Se 3.05-3.29
Ac2 0.7546 0.7500 0.5655  8 Se 3.05-3.29
Er1 0.2243 0.2500 0.9340  8 Se 2.84-3.18
Er2 0.7757 0.7500 0.0660  8 Se 2.84-3.18
Cu1 0.2495 0.7500 0.1861  4 Se 2.38-2.41
Cu2 0.7505 0.2500 0.8139  4 Se 2.38-2.41
Se1 0.0692 0.7500 0.3824  1 Cu 2.38
Se2 0.0687 0.7500 0.8995  1 Cu 2.39
Se3 0.4818 0.5104 0.7697  1 Cu 2.41
Se4 0.4818 0.9896 0.7697  1 Cu 2.41
Se5 0.5182 0.0104 0.2303  1 Cu 2.41
Se6 0.5182 0.4896 0.2303  1 Cu 2.41
Se7 0.9313 0.2500 0.1005  1 Cu 2.39
Se8 0.9308 0.2500 0.6176  1 Cu 2.38

***

Entry 3:
Entry from Alexandria via LeMat-Bulk: an optimized crystal structure of CoSbSN2 (PBE-GGA).

## Properties
ΔE to the lowest computed polymorph in eV/atom: 0.000
Space group: No. 123
VASP energy in eV/atom: -5.4250
Calculated volume in Å³ per cell: 67

Unit cell a=3.8009 b=3.8009 c=4.6716 alpha=90.00 beta=90.00 gamma=90.00
Closest atoms and distances in Å follow each position.
Positions (direct):
Co1 0.0000 0.0000 0.0000  4 N 1.90
Sb1 0.5000 0.5000 0.5000  4 S 2.69
S1 0.0000 0.0000 0.5000  2 Co 2.34
N1 0.0000 0.5000 0.0000  2 Co 1.90
N2 0.5000 0.0000 0.0000  2 Co 1.90

***

Entry 4:
Entry from Alexandria via LeMat-Bulk: an optimized crystal structure of Cs2LiAgSe2 (PBE-GGA).

## Properties
Space group: No. 72
VASP energy in eV/atom: -3.1542
Calculated volume in Å³ per cell: 371

Unit cell a=9.5622 b=9.5622 c=9.5622 alpha=139.15 beta=59.16 gamma=139.13
Closest atoms and distances in Å follow each position.
Positions (direct):
Cs1 0.1686 0.2407 0.4093  4 Se 3.58-3.62, 2 Ag 3.64, 2 Li 3.69
Cs2 0.3314 0.7407 0.0721  4 Se 3.58-3.62, 2 Ag 3.64, 2 Li 3.69
Cs3 0.6686 0.2593 0.9279  4 Se 3.58-3.62, 2 Ag 3.64, 2 Li 3.69
Cs4 0.8314 0.7593 0.5907  4 Se 3.58-3.62, 2 Ag 3.64, 2 Li 3.69
Li1 0.2500 0.7500 0.5000  4 Se 2.72
Li2 0.7500 0.2500 0.5000  4 Se 2.72
Ag1 0.2500 0.2500 0.0000  4 Se 2.82
Ag2 0.7500 0.7500 0.0000  4 Se 2.82
Se1 0.0875 0.7374 0.8248  2 Li 2.72, 2 Ag 2.82
Se2 0.4125 0.2374 0.6499  2 Li 2.72, 2 Ag 2.82
Se3 0.5875 0.7626 0.3501  2 Li 2.72, 2 Ag 2.82
Se4 0.9125 0.2626 0.1752  2 Li 2.72, 2 Ag 2.82

***

Entry 5:
Entry from Alexandria via LeMat-Bulk: an optimized crystal structure of Pr3HgAu (PBE-GGA).

## Properties
ΔE to the lowest computed polymorph in eV/atom: 0.000
Space group: No. 63
VASP energy in eV/atom: -4.0514
Energy of formation in meV/atom: -468
Calculated volume in Å³ per cell: 294

Unit cell a=10.4792 b=10.4792 c=5.3834 alpha=90.00 beta=90.00 gamma=150.23
Closest atoms and distances in Å follow each position.
Positions (direct):
Pr1 0.0631 0.9369 0.7500  2 Hg 3.26, 2 Au 3.29
Pr2 0.2493 0.7507 0.7500  4 Au 3.29-3.30, 4 Hg 3.32-3.34
Pr3 0.4344 0.5656 0.7500  2 Hg 3.23, 2 Au 3.26
Pr4 0.5656 0.4344 0.2500  2 Hg 3.23, 2 Au 3.26
Pr5 0.7507 0.2493 0.2500  4 Au 3.29-3.30, 4 Hg 3.32-3.34
Pr6 0.9369 0.0631 0.2500  2 Hg 3.26, 2 Au 3.29
Hg1 0.1535 0.8465 0.2500  8 Pr 3.23-3.34
Hg2 0.8465 0.1535 0.7500  8 Pr 3.23-3.34
Au1 0.3437 0.6563 0.2500  8 Pr 3.26-3.30
Au2 0.6563 0.3437 0.7500  8 Pr 3.26-3.30

***

Entry 6:
Entry from Alexandria via LeMat-Bulk: an optimized crystal structure of Ca2WN4 (PBE-GGA).

## Properties
Space group: No. 139
VASP energy in eV/atom: -7.6532
Calculated volume in Å³ per cell: 98

Unit cell a=6.7644 b=6.7644 c=6.7644 alpha=145.72 beta=145.72 gamma=49.26
Closest atoms and distances in Å follow each position.
Positions (direct):
Ca1 0.1444 0.1444 0.0000  1 N 2.37
Ca2 0.8556 0.8556 0.0000  1 N 2.37
W1 0.5000 0.5000 0.0000  6 N 1.99-2.01
N1 0.0000 0.5000 0.5000  2 W 1.99
N2 0.3367 0.3367 0.0000  1 W 2.01
N3 0.5000 0.0000 0.5000  2 W 1.99
N4 0.6633 0.6633 0.0000  1 W 2.01

***

Entry 7:
Entry from Alexandria via LeMat-Bulk: an optimized crystal structure of Rb4Pm3DyTe8 (PBE-GGA).

## Properties
Space group: No. 166
VASP energy in eV/atom: -4.3913
Calculated volume in Å³ per cell: 628

Unit cell a=10.0782 b=10.0782 c=10.0782 alpha=54.30 beta=54.30 gamma=54.30
Closest atoms and distances in Å follow each position.
Positions (direct):
Rb1 0.0000 0.0000 0.0000  6 Te 3.71
Rb2 0.0000 0.5000 0.5000  6 Te 3.67
Rb3 0.5000 0.0000 0.5000  6 Te 3.67
Rb4 0.5000 0.5000 0.0000  6 Te 3.67
Pm1 0.0000 0.0000 0.5000  6 Te 3.18-3.19
Pm2 0.0000 0.5000 0.0000  6 Te 3.18-3.19
Pm3 0.5000 0.0000 0.0000  6 Te 3.18-3.19
Dy1 0.5000 0.5000 0.5000  6 Te 3.13
Te1 0.2349 0.2349 0.2349  3 Pm 3.18
Te2 0.2394 0.7313 0.7313  1 Dy 3.13, 2 Pm 3.19
Te3 0.2687 0.2687 0.7606  1 Dy 3.13, 2 Pm 3.19
Te4 0.2687 0.7606 0.2687  1 Dy 3.13, 2 Pm 3.19
Te5 0.7313 0.2394 0.7313  1 Dy 3.13, 2 Pm 3.19
Te6 0.7313 0.7313 0.2394  1 Dy 3.13, 2 Pm 3.19
Te7 0.7606 0.2687 0.2687  1 Dy 3.13, 2 Pm 3.19
Te8 0.7651 0.7651 0.7651  3 Pm 3.18

***

Entry 8:
Entry from Alexandria via LeMat-Bulk: an optimized crystal structure of Na2CoPbCl6 (PBE-GGA).

## Properties
Space group: No. 99
VASP energy in eV/atom: -3.5673
Calculated volume in Å³ per cell: 312

Unit cell a=7.2544 b=7.2544 c=5.9228 alpha=90.00 beta=90.00 gamma=90.00
Closest atoms and distances in Å follow each position.
Positions (direct):
Na1 0.0000 0.5000 0.0000  4 Cl 2.83
Na2 0.5000 0.0000 0.0000  4 Cl 2.83
Co1 0.0000 0.0000 0.6910  5 Cl 2.20-2.43
Pb1 0.5000 0.5000 0.6752  5 Cl 2.73-2.89
Cl1 0.0000 0.0000 0.3198  1 Co 2.20
Cl2 0.2280 0.2280 0.8002  1 Co 2.43
Cl3 0.2280 0.7720 0.8002  1 Co 2.43
Cl4 0.5000 0.5000 0.2143  1 Pb 2.73
Cl5 0.7720 0.2280 0.8002  1 Co 2.43
Cl6 0.7720 0.7720 0.8002  1 Co 2.43

***

Entry 9:
Entry from Alexandria via LeMat-Bulk: an optimized crystal structure of Ac6Rh2Pb3 (PBE-GGA).

## Properties
Space group: No. 139
VASP energy in eV/atom: -5.0270
Energy of formation in meV/atom: -438
Calculated volume in Å³ per cell: 426

Unit cell a=14.3852 b=14.3852 c=14.3852 alpha=157.75 beta=157.75 gamma=31.67
Closest atoms and distances in Å follow each position.
Positions (direct):
Ac1 0.0815 0.5815 0.5000  2 Rh 2.84
Ac2 0.2050 0.2050 0.0000  1 Rh 2.81
Ac3 0.4185 0.9185 0.5000  2 Rh 2.84
Ac4 0.5815 0.0815 0.5000  2 Rh 2.84
Ac5 0.7950 0.7950 0.0000  1 Rh 2.81
Ac6 0.9185 0.4185 0.5000  2 Rh 2.84
Rh1 0.1035 0.1035 0.0000  5 Ac 2.81-2.84
Rh2 0.8965 0.8965 0.0000  5 Ac 2.81-2.84
Pb1 0.3277 0.3277 0.0000  5 Ac 3.40-3.74
Pb2 0.5000 0.5000 0.0000  8 Ac 3.58
Pb3 0.6723 0.6723 0.0000  5 Ac 3.40-3.74